VASP calculation (SCAN) on MgZn4Ag at its PBEsol-relaxed geometry.

## Properties
ΔH_f (0 K): -82 kJ/mol of formula units
Symmetry: F-43m, No. 216
Raw total energy: -15.208 eV per atom
V: 15.19 Å³ per atom

The structure in CIF format:
```
data_MgZn4Ag
_chemical_formula_sum 'Mg1 Zn4 Ag1'
_cell_length_a 5.0512
_cell_length_b 5.0512
_cell_length_c 5.0512
_cell_angle_alpha 60.00
_cell_angle_beta 60.00
_cell_angle_gamma 60.00
_symmetry_space_group_name_H-M 'P 1'
_symmetry_Int_Tables_number 1
loop_
_symmetry_equiv_pos_as_xyz
'x,y,z'
loop_
_atom_site_label
_atom_site_fract_x
_atom_site_fract_y
_atom_site_fract_z
Zn1 0.8745 0.3752 0.3752
Ag1 0.7500 0.7500 0.7500
Zn2 0.3752 0.3752 0.3752
Mg1 0.0000 0.0000 0.0000
Zn3 0.3752 0.3752 0.8745
Zn4 0.3752 0.8745 0.3752
```



VASP calculation (SCAN) on MgZnAg2 at its PBEsol-relaxed geometry.

## Properties
ΔH_f (0 K): -60 kJ/mol of formula units
Symmetry: P4/mmm, No. 123
Raw total energy: -20.462 eV per atom
V: 16.35 Å³ per atom

The structure in CIF format:
```
data_MgZnAg2
_chemical_formula_sum 'Mg1 Zn1 Ag2'
_cell_length_a 3.2278
_cell_length_b 3.2278
_cell_length_c 6.2767
_cell_angle_alpha 90.00
_cell_angle_beta 90.00
_cell_angle_gamma 90.00
_symmetry_space_group_name_H-M 'P 1'
_symmetry_Int_Tables_number 1
loop_
_symmetry_equiv_pos_as_xyz
'x,y,z'
loop_
_atom_site_label
_atom_site_fract_x
_atom_site_fract_y
_atom_site_fract_z
Ag1 0.0000 0.0000 0.2653
Mg1 0.5000 0.5000 0.0000
Ag2 0.0000 0.0000 0.7347
Zn1 0.5000 0.5000 0.5000
```



VASP calculation (SCAN) on MgZn2Ag at its PBEsol-relaxed geometry.

## Properties
ΔH_f (0 K): -36 kJ/mol of formula units
Symmetry: P4/mmm, No. 123
Raw total energy: -15.935 eV per atom
V: 16.00 Å³ per atom

The structure in CIF format:
```
data_MgZn2Ag
_chemical_formula_sum 'Mg1 Zn2 Ag1'
_cell_length_a 3.3203
_cell_length_b 3.3203
_cell_length_c 5.8044
_cell_angle_alpha 90.00
_cell_angle_beta 90.00
_cell_angle_gamma 90.00
_symmetry_space_group_name_H-M 'P 1'
_symmetry_Int_Tables_number 1
loop_
_symmetry_equiv_pos_as_xyz
'x,y,z'
loop_
_atom_site_label
_atom_site_fract_x
_atom_site_fract_y
_atom_site_fract_z
Zn1 0.0000 0.0000 0.2380
Zn2 0.0000 0.0000 0.7620
Mg1 0.5000 0.5000 0.5000
Ag1 0.5000 0.5000 0.0000
```



VASP calculation (SCAN) on MgZn2Ag at its PBEsol-relaxed geometry.

## Properties
ΔH_f (0 K): -36 kJ/mol of formula units
Symmetry: Cm, No. 8
Raw total energy: -15.937 eV per atom
V: 15.88 Å³ per atom

The structure in CIF format:
```
data_MgZn2Ag
_chemical_formula_sum 'Mg1 Zn2 Ag1'
_cell_length_a 3.2396
_cell_length_b 4.4637
_cell_length_c 5.2110
_cell_angle_alpha 116.03
_cell_angle_beta 108.11
_cell_angle_gamma 90.00
_symmetry_space_group_name_H-M 'P 1'
_symmetry_Int_Tables_number 1
loop_
_symmetry_equiv_pos_as_xyz
'x,y,z'
loop_
_atom_site_label
_atom_site_fract_x
_atom_site_fract_y
_atom_site_fract_z
Ag1 0.4873 0.4885 0.9747
Zn1 0.7443 0.2430 0.4885
Zn2 0.0165 0.0175 0.0329
Mg1 0.2519 0.7511 0.5039
```



VASP calculation (SCAN) on MgZn2Ag at its PBEsol-relaxed geometry.

## Properties
ΔH_f (0 K): -39 kJ/mol of formula units
Symmetry: F-43m, No. 216
Raw total energy: -15.944 eV per atom
V: 15.79 Å³ per atom

The structure in CIF format:
```
data_MgZn2Ag
_chemical_formula_sum 'Mg1 Zn2 Ag1'
_cell_length_a 4.4705
_cell_length_b 4.4705
_cell_length_c 4.4705
_cell_angle_alpha 60.00
_cell_angle_beta 60.00
_cell_angle_gamma 60.00
_symmetry_space_group_name_H-M 'P 1'
_symmetry_Int_Tables_number 1
loop_
_symmetry_equiv_pos_as_xyz
'x,y,z'
loop_
_atom_site_label
_atom_site_fract_x
_atom_site_fract_y
_atom_site_fract_z
Ag1 0.5000 0.5000 0.5000
Mg1 0.2500 0.2500 0.2500
Zn1 0.0000 0.0000 0.0000
Zn2 0.7500 0.7500 0.7500
```



VASP calculation (SCAN) on MgZn2Ag at its PBEsol-relaxed geometry.

## Properties
ΔH_f (0 K): -39 kJ/mol of formula units
Symmetry: I-4m2, No. 119
Raw total energy: -15.944 eV per atom
V: 15.87 Å³ per atom

The structure in CIF format:
```
data_MgZn2Ag
_chemical_formula_sum 'Mg1 Zn2 Ag1'
_cell_length_a 4.1524
_cell_length_b 4.1524
_cell_length_c 4.7091
_cell_angle_alpha 116.16
_cell_angle_beta 116.16
_cell_angle_gamma 90.00
_symmetry_space_group_name_H-M 'P 1'
_symmetry_Int_Tables_number 1
loop_
_symmetry_equiv_pos_as_xyz
'x,y,z'
loop_
_atom_site_label
_atom_site_fract_x
_atom_site_fract_y
_atom_site_fract_z
Zn1 0.7500 0.2500 0.5000
Mg1 0.2500 0.7500 0.5000
Zn2 0.0000 0.0000 0.0000
Ag1 0.5000 0.5000 0.0000
```



VASP calculation (SCAN) on MgZnAg2 at its PBEsol-relaxed geometry.

## Properties
ΔH_f (0 K): -41 kJ/mol of formula units
Symmetry: F-43m, No. 216
Raw total energy: -20.411 eV per atom
V: 16.48 Å³ per atom

The structure in CIF format:
```
data_MgZnAg2
_chemical_formula_sum 'Mg1 Zn1 Ag2'
_cell_length_a 4.5344
_cell_length_b 4.5344
_cell_length_c 4.5344
_cell_angle_alpha 60.00
_cell_angle_beta 60.00
_cell_angle_gamma 60.00
_symmetry_space_group_name_H-M 'P 1'
_symmetry_Int_Tables_number 1
loop_
_symmetry_equiv_pos_as_xyz
'x,y,z'
loop_
_atom_site_label
_atom_site_fract_x
_atom_site_fract_y
_atom_site_fract_z
Zn1 0.7500 0.7500 0.7500
Ag1 0.0000 0.0000 0.0000
Mg1 0.5000 0.5000 0.5000
Ag2 0.2500 0.2500 0.2500
```



VASP calculation (SCAN) on Mg2ZnAg at its PBEsol-relaxed geometry.

## Properties
ΔH_f (0 K): -69 kJ/mol of formula units
Symmetry: Cm, No. 8
Raw total energy: -13.887 eV per atom
V: 17.72 Å³ per atom

The structure in CIF format:
```
data_Mg2ZnAg
_chemical_formula_sum 'Mg2 Zn1 Ag1'
_cell_length_a 3.1028
_cell_length_b 4.7684
_cell_length_c 5.3161
_cell_angle_alpha 108.70
_cell_angle_beta 106.97
_cell_angle_gamma 90.00
_symmetry_space_group_name_H-M 'P 1'
_symmetry_Int_Tables_number 1
loop_
_symmetry_equiv_pos_as_xyz
'x,y,z'
loop_
_atom_site_label
_atom_site_fract_x
_atom_site_fract_y
_atom_site_fract_z
Ag1 0.2334 0.7741 0.4668
Mg1 0.9838 0.9540 0.9677
Zn1 0.5158 0.4745 0.0317
Mg2 0.7669 0.2974 0.5339
```



VASP calculation (SCAN) on MgZnAg2 at its PBEsol-relaxed geometry.

## Properties
ΔH_f (0 K): -46 kJ/mol of formula units
Symmetry: Pmm2, No. 25
Raw total energy: -20.426 eV per atom
V: 16.54 Å³ per atom

The structure in CIF format:
```
data_MgZnAg2
_chemical_formula_sum 'Mg1 Zn1 Ag2'
_cell_length_a 3.0191
_cell_length_b 3.8187
_cell_length_c 5.7394
_cell_angle_alpha 90.00
_cell_angle_beta 90.00
_cell_angle_gamma 90.00
_symmetry_space_group_name_H-M 'P 1'
_symmetry_Int_Tables_number 1
loop_
_symmetry_equiv_pos_as_xyz
'x,y,z'
loop_
_atom_site_label
_atom_site_fract_x
_atom_site_fract_y
_atom_site_fract_z
Ag1 0.5000 0.5000 0.2534
Mg1 0.0000 0.0000 0.4953
Zn1 0.5000 0.5000 0.7666
Ag2 0.0000 0.0000 0.9847
```



VASP calculation (SCAN) on Mg2ZnAg at its PBEsol-relaxed geometry.

## Properties
ΔH_f (0 K): -75 kJ/mol of formula units
Symmetry: Pm, No. 6
Raw total energy: -13.900 eV per atom
V: 17.96 Å³ per atom

The structure in CIF format:
```
data_Mg2ZnAg
_chemical_formula_sum 'Mg2 Zn1 Ag1'
_cell_length_a 3.0507
_cell_length_b 4.4450
_cell_length_c 5.5274
_cell_angle_alpha 90.00
_cell_angle_beta 106.53
_cell_angle_gamma 90.00
_symmetry_space_group_name_H-M 'P 1'
_symmetry_Int_Tables_number 1
loop_
_symmetry_equiv_pos_as_xyz
'x,y,z'
loop_
_atom_site_label
_atom_site_fract_x
_atom_site_fract_y
_atom_site_fract_z
Ag1 0.4455 0.5000 0.7624
Mg1 0.0420 0.0000 0.9530
Mg2 0.7093 0.5000 0.2993
Zn1 0.3031 0.0000 0.4853
```



VASP calculation (SCAN) on MgZn2Ag at its PBEsol-relaxed geometry.

## Properties
ΔH_f (0 K): -38 kJ/mol of formula units
Symmetry: Pmmm, No. 47
Raw total energy: -15.941 eV per atom
V: 15.93 Å³ per atom

The structure in CIF format:
```
data_MgZn2Ag
_chemical_formula_sum 'Mg1 Zn2 Ag1'
_cell_length_a 3.9526
_cell_length_b 3.8968
_cell_length_c 4.1372
_cell_angle_alpha 90.00
_cell_angle_beta 90.00
_cell_angle_gamma 90.00
_symmetry_space_group_name_H-M 'P 1'
_symmetry_Int_Tables_number 1
loop_
_symmetry_equiv_pos_as_xyz
'x,y,z'
loop_
_atom_site_label
_atom_site_fract_x
_atom_site_fract_y
_atom_site_fract_z
Zn1 0.0000 0.0000 0.0000
Mg1 0.0000 0.5000 0.5000
Ag1 0.5000 0.0000 0.5000
Zn2 0.5000 0.5000 0.0000
```



VASP calculation (SCAN) on Mg2ZnAg at its PBEsol-relaxed geometry.

## Properties
ΔH_f (0 K): -53 kJ/mol of formula units
Symmetry: F-43m, No. 216
Raw total energy: -13.844 eV per atom
V: 17.16 Å³ per atom

The structure in CIF format:
```
data_Mg2ZnAg
_chemical_formula_sum 'Mg2 Zn1 Ag1'
_cell_length_a 4.5959
_cell_length_b 4.5959
_cell_length_c 4.5959
_cell_angle_alpha 60.00
_cell_angle_beta 60.00
_cell_angle_gamma 60.00
_symmetry_space_group_name_H-M 'P 1'
_symmetry_Int_Tables_number 1
loop_
_symmetry_equiv_pos_as_xyz
'x,y,z'
loop_
_atom_site_label
_atom_site_fract_x
_atom_site_fract_y
_atom_site_fract_z
Ag1 0.5000 0.5000 0.5000
Mg1 0.7500 0.7500 0.7500
Mg2 0.0000 0.0000 0.0000
Zn1 0.2500 0.2500 0.2500
```